[1]
Compound: Li2ScTc
Source: Alexandria
Functional: GGA-PBE
Structure: optimized geometry

The energy relative to the elements is 0.15 eV/atom.

The space group is Cmm2 (No. 35) and the conventional cell measures 3.242, 4.753 and 9.474 Å, with angles of 90.00, 90.00 and 90.00 degrees. The distinct sites, in fractional coordinates, are Li at (0.000, 0.000, 0.000), Li at (0.000, 0.500, 0.272), Sc at (0.000, 0.500, 0.709) and Tc at (0.000, 0.000, 0.496).

=====

[2]
Compound: Li3ScTc
Source: Alexandria
Functional: GGA-PBE
Structure: optimized geometry

The energy relative to the elements is 0.99 eV/atom.

The space group is Pm-3m (No. 221) and the conventional cell measures 4.571, 4.571 and 4.571 Å, with angles of 90.00, 90.00 and 90.00 degrees. The distinct sites, in fractional coordinates, are Li at (0.000, 0.000, 0.500), Sc at (0.500, 0.500, 0.500) and Tc at (0.000, 0.000, 0.000).